(1)
## AlCd2Sb (PBE)

Data for an optimized crystal structure of AlCd2Sb.

abc: 3.013 5.538 11.242
angles: 90.00 90.00 90.00
Fractional coordinates of all 8 atoms:
Al 0.000 0.000 0.000
Al 0.500 0.500 0.500
Cd 0.000 0.500 0.269
Cd 0.000 0.500 0.731
Cd 0.500 0.000 0.231
Cd 0.500 0.000 0.769
Sb 0.000 0.000 0.500
Sb 0.500 0.500 0.000

Output
ΔE_f (raw) (eV/atom): 0.16
Energy relative to the lowest polymorph listed for this composition (kJ/mol of formula units): 27
Total moment (Bohr magnetons per cell): 0.0

---

(2)
## AlCdSb2 (PBE)

Data for an optimized crystal structure of AlCdSb2.

abc: 5.365 5.365 3.383
angles: 90.00 90.00 90.00
Fractional coordinates of all 4 atoms:
Al 0.000 0.000 0.000
Cd 0.500 0.500 0.000
Sb 0.000 0.500 0.500
Sb 0.500 0.000 0.500

Output
ΔE_f (raw) (eV/atom): 0.20
Energy relative to the lowest polymorph listed for this composition (kJ/mol of formula units): 73
Total moment (Bohr magnetons per cell): 0.0

---

(3)
## AlCd3Sb (PBE)

Data for an optimized crystal structure of AlCd3Sb.

abc: 5.592 5.592 5.592
angles: 90.00 90.00 90.00
Fractional coordinates of all 5 atoms:
Al 0.000 0.000 0.000
Cd 0.000 0.500 0.500
Cd 0.500 0.000 0.500
Cd 0.500 0.500 0.000
Sb 0.500 0.500 0.500

Output
ΔE_f (raw) (eV/atom): 0.61
Energy relative to the lowest polymorph listed for this composition (kJ/mol of formula units): 77
Total moment (Bohr magnetons per cell): 0.0

---

(4)
## Al2CdSb (PBE)

Data for an optimized crystal structure of Al2CdSb.

abc: 3.229 3.229 28.809
angles: 90.00 90.00 120.00
Fractional coordinates of all 12 atoms:
Al 0.000 0.000 0.246
Al 0.000 0.000 0.754
Al 0.333 0.667 0.420
Al 0.333 0.667 0.913
Al 0.667 0.333 0.087
Al 0.667 0.333 0.580
Cd 0.000 0.000 0.500
Cd 0.333 0.667 0.167
Cd 0.667 0.333 0.833
Sb 0.000 0.000 0.000
Sb 0.333 0.667 0.667
Sb 0.667 0.333 0.333

Output
ΔE_f (raw) (eV/atom): 0.22
Energy relative to the lowest polymorph listed for this composition (kJ/mol of formula units): 42
Total moment (Bohr magnetons per cell): 0.0